[1]
{
  "formula": "Na3InSb",
  "functional": "PBE-GGA",
  "state": "optimized geometry",
  "cell": [[-5.325, 4.724, 3.261], [5.325, -4.724, 3.261], [5.325, 4.724, -3.261]],
  "species": ["Na", "Na", "Na", "Na", "Na", "Na", "In", "In", "Sb", "Sb"],
  "fractional_positions": [[0.249, 0.021, 0.270], [0.249, 0.479, 0.728], [0.722, 0.500, 0.722], [0.751, 0.521, 0.272], [0.751, 0.979, 0.730], [0.778, 0.000, 0.278], [0.065, 0.501, 0.064], [0.438, 0.001, 0.936], [0.137, 0.000, 0.637], [0.363, 0.500, 0.363]],
  "relative_energy_ev_per_atom": 0.000,
  "vol_a3_per_atom": 32.814,
  "formation_energy_uncorrected_ev_per_atom": -0.16,
  "dft_energy_ev_per_atom": -2.328
}

---

[2]
{
  "formula": "NaIn2Sb",
  "functional": "PBE-GGA",
  "state": "optimized geometry",
  "cell": [[4.697, 0.000, 0.000], [0.000, 4.697, 0.000], [0.000, 0.000, 4.841]],
  "species": ["Na", "In", "In", "Sb"],
  "fractional_positions": [[0.000, 0.000, 0.000], [0.000, 0.500, 0.500], [0.500, 0.000, 0.500], [0.500, 0.500, 0.000]],
  "vol_a3_per_atom": 26.704,
  "formation_energy_uncorrected_ev_per_atom": -0.13,
  "dft_energy_ev_per_atom": -2.856
}

---

[3]
{
  "formula": "NaInSb4",
  "functional": "PBE-GGA",
  "state": "optimized geometry",
  "cell": [[0.000, 4.534, 4.534], [4.534, 0.000, 4.534], [4.534, 4.534, 0.000]],
  "species": ["Na", "In", "Sb", "Sb", "Sb", "Sb"],
  "fractional_positions": [[0.000, 0.000, 0.000], [0.250, 0.250, 0.250], [0.131, 0.623, 0.623], [0.623, 0.131, 0.623], [0.623, 0.623, 0.131], [0.623, 0.623, 0.623]],
  "vol_a3_per_atom": 31.077,
  "formation_energy_uncorrected_ev_per_atom": 0.08,
  "dft_energy_ev_per_atom": -3.345
}

---

[4]
{
  "formula": "NaInSb2",
  "functional": "PBE-GGA",
  "state": "optimized geometry",
  "cell": [[8.506, 0.000, 0.000], [0.000, 8.506, 0.000], [0.000, 0.000, 6.484]],
  "species": ["Na", "Na", "Na", "Na", "In", "In", "In", "In", "Sb", "Sb", "Sb", "Sb", "Sb", "Sb", "Sb", "Sb"],
  "fractional_positions": [[0.000, 0.000, 0.000], [0.000, 0.500, 0.250], [0.500, 0.000, 0.750], [0.500, 0.500, 0.500], [0.000, 0.000, 0.500], [0.000, 0.500, 0.750], [0.500, 0.000, 0.250], [0.500, 0.500, 0.000], [0.215, 0.750, 0.625], [0.250, 0.215, 0.375], [0.250, 0.285, 0.875], [0.285, 0.750, 0.125], [0.715, 0.250, 0.125], [0.750, 0.715, 0.875], [0.750, 0.785, 0.375], [0.785, 0.250, 0.625]],
  "vol_a3_per_atom": 29.321,
  "formation_energy_uncorrected_ev_per_atom": -0.12,
  "dft_energy_ev_per_atom": -3.196
}

---

[5]
{
  "formula": "Na2InSb",
  "functional": "PBE-GGA",
  "state": "optimized geometry",
  "cell": [[4.663, 0.000, 0.000], [0.000, 4.663, 0.000], [0.000, 0.000, 4.852]],
  "species": ["Na", "Na", "In", "Sb"],
  "fractional_positions": [[0.000, 0.500, 0.000], [0.500, 0.000, 0.000], [0.000, 0.000, 0.500], [0.500, 0.500, 0.500]],
  "vol_a3_per_atom": 26.380,
  "formation_energy_uncorrected_ev_per_atom": -0.23,
  "dft_energy_ev_per_atom": -2.609
}

---

[6]
{
  "formula": "Na2InSb",
  "functional": "PBE-GGA",
  "state": "optimized geometry",
  "cell": [[3.431, 0.000, 0.000], [-1.716, 2.972, 0.000], [0.000, 0.000, 34.183]],
  "species": ["Na", "Na", "Na", "Na", "Na", "Na", "In", "In", "In", "Sb", "Sb", "Sb"],
  "fractional_positions": [[0.000, 0.000, 0.088], [0.000, 0.000, 0.912], [0.333, 0.667, 0.579], [0.333, 0.667, 0.755], [0.667, 0.333, 0.245], [0.667, 0.333, 0.421], [0.000, 0.000, 0.500], [0.333, 0.667, 0.167], [0.667, 0.333, 0.833], [0.000, 0.000, 0.000], [0.333, 0.667, 0.667], [0.667, 0.333, 0.333]],
  "vol_a3_per_atom": 29.043,
  "formation_energy_uncorrected_ev_per_atom": 0.01,
  "dft_energy_ev_per_atom": -2.370
}

---

[7]
{
  "formula": "NaIn2Sb2",
  "functional": "PBE-GGA",
  "state": "optimized geometry",
  "cell": [[5.484, 0.000, 0.000], [0.000, 5.484, 0.000], [0.000, 0.000, 10.551]],
  "species": ["Na", "Na", "In", "In", "In", "In", "Sb", "Sb", "Sb", "Sb"],
  "fractional_positions": [[0.000, 0.000, 0.000], [0.500, 0.500, 0.500], [0.000, 0.000, 0.367], [0.000, 0.000, 0.633], [0.500, 0.500, 0.133], [0.500, 0.500, 0.867], [0.000, 0.500, 0.250], [0.000, 0.500, 0.750], [0.500, 0.000, 0.250], [0.500, 0.000, 0.750]],
  "vol_a3_per_atom": 31.735,
  "formation_energy_uncorrected_ev_per_atom": -0.06,
  "dft_energy_ev_per_atom": -3.071
}

---

[8]
{
  "formula": "NaIn3Sb3",
  "functional": "PBE-GGA",
  "state": "optimized geometry",
  "cell": [[11.721, 0.000, 0.000], [0.000, 4.686, 0.000], [-5.859, 0.000, 10.169]],
  "species": ["Na", "Na", "In", "In", "In", "In", "In", "In", "Sb", "Sb", "Sb", "Sb", "Sb", "Sb"],
  "fractional_positions": [[0.167, 0.250, 0.333], [0.833, 0.750, 0.667], [0.100, 0.250, 0.936], [0.163, 0.750, 0.600], [0.436, 0.750, 0.337], [0.564, 0.250, 0.663], [0.837, 0.250, 0.400], [0.900, 0.750, 0.064], [0.070, 0.250, 0.676], [0.176, 0.750, 0.105], [0.395, 0.750, 0.571], [0.605, 0.250, 0.429], [0.824, 0.250, 0.895], [0.930, 0.750, 0.324]],
  "vol_a3_per_atom": 39.892,
  "formation_energy_uncorrected_ev_per_atom": -0.06,
  "dft_energy_ev_per_atom": -3.189
}

---

[9]
{
  "formula": "Na4In3SbSe8",
  "functional": "PBE-GGA",
  "state": "optimized geometry",
  "cell": [[4.063, 2.346, 7.072], [-4.063, 2.346, 7.072], [0.000, -4.692, 7.072]],
  "species": ["Na", "Na", "Na", "Na", "In", "In", "In", "Sb", "Se", "Se", "Se", "Se", "Se", "Se", "Se", "Se"],
  "fractional_positions": [[0.000, 0.000, 0.000], [0.000, 0.500, 0.500], [0.500, 0.000, 0.500], [0.500, 0.500, 0.000], [0.000, 0.000, 0.500], [0.000, 0.500, 0.000], [0.500, 0.000, 0.000], [0.500, 0.500, 0.500], [0.234, 0.746, 0.746], [0.239, 0.239, 0.239], [0.254, 0.254, 0.766], [0.254, 0.766, 0.254], [0.746, 0.234, 0.746], [0.746, 0.746, 0.234], [0.761, 0.761, 0.761], [0.766, 0.254, 0.254]],
  "vol_a3_per_atom": 25.280,
  "formation_energy_uncorrected_ev_per_atom": -0.76,
  "dft_energy_ev_per_atom": -3.602
}

---

[10]
{
  "formula": "NaInSbSe3",
  "functional": "PBE-GGA",
  "state": "optimized geometry",
  "cell": [[7.944, 0.000, 0.000], [0.000, 4.667, 0.000], [-0.212, 0.000, 10.138]],
  "species": ["Na", "Na", "In", "In", "Sb", "Sb", "Se", "Se", "Se", "Se", "Se", "Se"],
  "fractional_positions": [[0.112, 0.250, 0.357], [0.888, 0.750, 0.643], [0.133, 0.250, 0.927], [0.867, 0.750, 0.073], [0.391, 0.750, 0.648], [0.609, 0.250, 0.352], [0.165, 0.250, 0.664], [0.216, 0.750, 0.043], [0.357, 0.750, 0.394], [0.643, 0.250, 0.606], [0.784, 0.250, 0.957], [0.835, 0.750, 0.336]],
  "vol_a3_per_atom": 31.321,
  "formation_energy_uncorrected_ev_per_atom": -0.46,
  "dft_energy_ev_per_atom": -3.568
}

---

[11]
{
  "formula": "Na2InSbSe4",
  "functional": "PBE-GGA",
  "state": "optimized geometry",
  "cell": [[7.086, 0.000, 0.000], [0.000, 4.092, 0.000], [-2.366, 0.000, 7.093]],
  "species": ["Na", "Na", "In", "Sb", "Se", "Se", "Se", "Se"],
  "fractional_positions": [[0.000, 0.000, 0.000], [0.500, 0.500, 0.000], [0.000, 0.500, 0.500], [0.500, 0.000, 0.500], [0.233, 0.000, 0.724], [0.249, 0.500, 0.270], [0.751, 0.500, 0.730], [0.767, 0.000, 0.276]],
  "vol_a3_per_atom": 25.708,
  "formation_energy_uncorrected_ev_per_atom": -0.71,
  "dft_energy_ev_per_atom": -3.644
}

---

[12]
{
  "formula": "Na2InSnSb",
  "functional": "PBE-GGA",
  "state": "optimized geometry",
  "cell": [[5.568, 0.000, 0.000], [0.000, 5.568, 0.000], [0.000, 0.000, 5.647]],
  "species": ["Na", "Na", "In", "Sn", "Sb"],
  "fractional_positions": [[0.000, 0.500, 0.000], [0.500, 0.000, 0.000], [0.000, 0.000, 0.000], [0.000, 0.000, 0.500], [0.500, 0.500, 0.500]],
  "vol_a3_per_atom": 35.017,
  "formation_energy_uncorrected_ev_per_atom": 0.35,
  "dft_energy_ev_per_atom": -2.347
}

---

[13]
{
  "formula": "Na2SrInSb2",
  "functional": "PBE-GGA",
  "state": "optimized geometry",
  "cell": [[4.905, 0.000, 0.000], [0.000, 9.437, 0.000], [0.000, 0.000, 8.152]],
  "species": ["Na", "Na", "Na", "Na", "Sr", "Sr", "In", "In", "Sb", "Sb", "Sb", "Sb"],
  "fractional_positions": [[0.000, 0.075, 0.000], [0.000, 0.925, 0.500], [0.500, 0.165, 0.319], [0.500, 0.835, 0.819], [0.500, 0.445, 0.947], [0.500, 0.555, 0.447], [0.000, 0.309, 0.612], [0.000, 0.691, 0.112], [0.000, 0.370, 0.231], [0.000, 0.630, 0.731], [0.500, 0.153, 0.711], [0.500, 0.847, 0.211]],
  "vol_a3_per_atom": 31.448,
  "formation_energy_uncorrected_ev_per_atom": -0.54,
  "dft_energy_ev_per_atom": -3.086
}

---

[14]
{
  "formula": "NaSrIn2Sb",
  "functional": "PBE-GGA",
  "state": "optimized geometry",
  "cell": [[5.853, 0.000, 0.000], [0.000, 5.853, 0.000], [0.000, 0.000, 6.227]],
  "species": ["Na", "Sr", "In", "In", "Sb"],
  "fractional_positions": [[0.000, 0.000, 0.000], [0.500, 0.500, 0.000], [0.000, 0.500, 0.500], [0.500, 0.000, 0.500], [0.500, 0.500, 0.500]],
  "vol_a3_per_atom": 42.655,
  "formation_energy_uncorrected_ev_per_atom": 0.09,
  "dft_energy_ev_per_atom": -2.428
}

---

[15]
{
  "formula": "Na2InSbTe4",
  "functional": "PBE-GGA",
  "state": "optimized geometry",
  "cell": [[7.541, 0.000, 0.000], [0.000, 4.380, 0.000], [-2.529, 0.000, 7.669]],
  "species": ["Na", "Na", "In", "Sb", "Te", "Te", "Te", "Te"],
  "fractional_positions": [[0.000, 0.000, 0.000], [0.500, 0.500, 0.000], [0.000, 0.500, 0.500], [0.500, 0.000, 0.500], [0.235, 0.000, 0.724], [0.253, 0.500, 0.271], [0.747, 0.500, 0.729], [0.765, 0.000, 0.276]],
  "vol_a3_per_atom": 31.661,
  "formation_energy_uncorrected_ev_per_atom": -0.49,
  "dft_energy_ev_per_atom": -3.252
}

---

[16]
{
  "formula": "Na4InSb3Te8",
  "functional": "PBE-GGA",
  "state": "optimized geometry",
  "cell": [[4.390, 2.535, 7.662], [-4.390, 2.535, 7.662], [0.000, -5.069, 7.662]],
  "species": ["Na", "Na", "Na", "Na", "In", "Sb", "Sb", "Sb", "Te", "Te", "Te", "Te", "Te", "Te", "Te", "Te"],
  "fractional_positions": [[0.000, 0.000, 0.000], [0.000, 0.500, 0.500], [0.500, 0.000, 0.500], [0.500, 0.500, 0.000], [0.500, 0.500, 0.500], [0.000, 0.000, 0.500], [0.000, 0.500, 0.000], [0.500, 0.000, 0.000], [0.244, 0.244, 0.244], [0.247, 0.741, 0.741], [0.259, 0.259, 0.753], [0.259, 0.753, 0.259], [0.741, 0.247, 0.741], [0.741, 0.741, 0.247], [0.753, 0.259, 0.259], [0.756, 0.756, 0.756]],
  "vol_a3_per_atom": 31.972,
  "formation_energy_uncorrected_ev_per_atom": -0.48,
  "dft_energy_ev_per_atom": -3.320
}

---

[17]
{
  "formula": "NaInSb2Te",
  "functional": "PBE-GGA",
  "state": "optimized geometry",
  "cell": [[5.498, 0.000, 0.000], [0.000, 5.498, 0.000], [0.000, 0.000, 5.596]],
  "species": ["Na", "In", "Sb", "Sb", "Te"],
  "fractional_positions": [[0.000, 0.000, 0.000], [0.500, 0.500, 0.500], [0.000, 0.500, 0.000], [0.500, 0.000, 0.000], [0.000, 0.000, 0.500]],
  "relative_energy_ev_per_atom": 0.218,
  "vol_a3_per_atom": 33.833,
  "formation_energy_uncorrected_ev_per_atom": 0.55,
  "dft_energy_ev_per_atom": -2.535
}

---

[18]
{
  "formula": "NaInSb2Te",
  "functional": "PBE-GGA",
  "state": "optimized geometry",
  "cell": [[5.665, 0.000, 0.000], [0.000, 5.665, 0.000], [0.000, 0.000, 5.927]],
  "species": ["Na", "In", "Sb", "Sb", "Te"],
  "fractional_positions": [[0.000, 0.000, 0.000], [0.500, 0.500, 0.500], [0.000, 0.500, 0.500], [0.500, 0.000, 0.500], [0.500, 0.500, 0.000]],
  "relative_energy_ev_per_atom": 0.000,
  "vol_a3_per_atom": 38.050,
  "formation_energy_uncorrected_ev_per_atom": 0.34,
  "dft_energy_ev_per_atom": -2.753
}

---

[19]
{
  "formula": "NaTiIn2Sb",
  "functional": "PBE-GGA",
  "state": "optimized geometry",
  "cell": [[5.160, 0.000, 0.000], [0.000, 5.160, 0.000], [0.000, 0.000, 5.441]],
  "species": ["Na", "Ti", "In", "In", "Sb"],
  "fractional_positions": [[0.000, 0.000, 0.000], [0.000, 0.000, 0.500], [0.000, 0.500, 0.000], [0.500, 0.000, 0.000], [0.500, 0.500, 0.500]],
  "vol_a3_per_atom": 28.980,
  "formation_energy_uncorrected_ev_per_atom": 0.97,
  "dft_energy_ev_per_atom": -2.791
}

---

[20]
{
  "formula": "Na2TlIn2Sb2",
  "functional": "PBE-GGA",
  "state": "optimized geometry",
  "cell": [[2.634, 1.521, 8.391], [-2.634, 1.521, 8.391], [0.000, -3.042, 8.391]],
  "species": ["Na", "Na", "Tl", "In", "In", "Sb", "Sb"],
  "fractional_positions": [[0.137, 0.137, 0.137], [0.863, 0.863, 0.863], [0.000, 0.000, 0.000], [0.435, 0.435, 0.435], [0.565, 0.565, 0.565], [0.263, 0.263, 0.263], [0.737, 0.737, 0.737]],
  "vol_a3_per_atom": 28.813,
  "formation_energy_uncorrected_ev_per_atom": -0.12,
  "dft_energy_ev_per_atom": -2.800
}

---

[21]
{
  "formula": "Na3ScIn",
  "functional": "PBE-GGA",
  "state": "optimized geometry",
  "cell": [[6.097, 0.000, 0.000], [0.000, 6.097, 0.000], [0.000, 0.000, 6.097]],
  "species": ["Na", "Na", "Na", "Sc", "In"],
  "fractional_positions": [[0.000, 0.000, 0.500], [0.000, 0.500, 0.000], [0.500, 0.000, 0.000], [0.000, 0.000, 0.000], [0.500, 0.500, 0.500]],
  "relative_energy_ev_per_atom": 0.266,
  "vol_a3_per_atom": 45.320,
  "dft_energy_ev_per_atom": -1.722,
  "delta_e_f_mev_per_atom": 883
}

---

[22]
{
  "formula": "NaSc2In9",
  "functional": "PBE-GGA",
  "state": "optimized geometry",
  "cell": [[4.552, 0.000, 0.000], [0.000, 4.552, 0.000], [0.000, 0.000, 13.904]],
  "species": ["Na", "Sc", "Sc", "In", "In", "In", "In", "In", "In", "In", "In", "In"],
  "fractional_positions": [[0.000, 0.000, 0.000], [0.000, 0.000, 0.340], [0.000, 0.000, 0.660], [0.000, 0.500, 0.173], [0.000, 0.500, 0.500], [0.000, 0.500, 0.827], [0.500, 0.000, 0.173], [0.500, 0.000, 0.500], [0.500, 0.000, 0.827], [0.500, 0.500, 0.000], [0.500, 0.500, 0.336], [0.500, 0.500, 0.664]],
  "vol_a3_per_atom": 24.007,
  "dft_energy_ev_per_atom": -3.437,
  "delta_e_f_mev_per_atom": -218
}

---

[23]
{
  "formula": "NaScIn3",
  "functional": "PBE-GGA",
  "state": "optimized geometry",
  "cell": [[5.630, 0.000, 0.000], [0.000, 5.630, 0.000], [0.000, 0.000, 5.630]],
  "species": ["Na", "Sc", "In", "In", "In"],
  "fractional_positions": [[0.000, 0.000, 0.000], [0.500, 0.500, 0.500], [0.000, 0.500, 0.500], [0.500, 0.000, 0.500], [0.500, 0.500, 0.000]],
  "relative_energy_ev_per_atom": 0.000,
  "vol_a3_per_atom": 35.692,
  "dft_energy_ev_per_atom": -2.905,
  "delta_e_f_mev_per_atom": 268
}

---

[24]
{
  "formula": "NaScIn2",
  "functional": "PBE-GGA",
  "state": "optimized geometry",
  "cell": [[3.374, 0.000, 0.000], [-1.687, 2.922, 0.000], [0.000, 0.000, 31.155]],
  "species": ["Na", "Na", "Na", "Sc", "Sc", "Sc", "In", "In", "In", "In", "In", "In"],
  "fractional_positions": [[0.000, 0.000, 0.000], [0.333, 0.667, 0.667], [0.667, 0.333, 0.333], [0.000, 0.000, 0.500], [0.333, 0.667, 0.167], [0.667, 0.333, 0.833], [0.000, 0.000, 0.245], [0.000, 0.000, 0.755], [0.333, 0.667, 0.421], [0.333, 0.667, 0.912], [0.667, 0.333, 0.088], [0.667, 0.333, 0.579]],
  "relative_energy_ev_per_atom": 0.125,
  "vol_a3_per_atom": 25.595,
  "dft_energy_ev_per_atom": -3.410,
  "delta_e_f_mev_per_atom": -128
}

---

[25]
{
  "formula": "NaSc2In2",
  "functional": "PBE-GGA",
  "state": "optimized geometry",
  "cell": [[8.904, 0.000, 0.000], [0.000, 8.904, 0.000], [0.000, 0.000, 3.201]],
  "species": ["Na", "Na", "Sc", "Sc", "Sc", "Sc", "In", "In", "In", "In"],
  "fractional_positions": [[0.000, 0.000, 0.000], [0.500, 0.500, 0.000], [0.121, 0.379, 0.000], [0.379, 0.879, 0.000], [0.621, 0.121, 0.000], [0.879, 0.621, 0.000], [0.177, 0.677, 0.500], [0.323, 0.177, 0.500], [0.677, 0.823, 0.500], [0.823, 0.323, 0.500]],
  "relative_energy_ev_per_atom": 0.000,
  "vol_a3_per_atom": 25.383,
  "dft_energy_ev_per_atom": -4.104,
  "delta_e_f_mev_per_atom": -212
}